This record from Alexandria via LeMat-Bulk describes a relaxed structure of GaIrO3. The functional is PBE.

It has space group Pm-3m (No. 221), with a = 3.903 Å, b = 3.903 Å, c = 3.903 Å, α = 90.00°, β = 90.00° and γ = 90.00°. The inequivalent atoms are Ga at (0.000, 0.000, 0.000), Ir at (0.500, 0.500, 0.500) and O at (0.000, 0.500, 0.500).

For the formation energy (no corrections), the calculation gives -418.5 meV/atom. The value obtained for the total DFT energy (no corrections) is -5.771 eV/atom. The magnetization is 0.53 μB/cell.

---

This record from Alexandria via LeMat-Bulk describes a relaxed structure of GaIrO2. The functional is PBE.

It has space group R-3m (No. 166, hexagonal axes), with a = 2.8604 Å, b = 2.8604 Å, c = 18.6261 Å, α = 90.00°, β = 90.00° and γ = 120.00°. The inequivalent atoms are Ga at (0.0000, 0.0000, 0.0000), Ir at (0.0000, 0.0000, 0.5000) and O at (0.0000, 0.0000, 0.3902).

For the formation energy (no corrections), the calculation gives -1045.1 meV/atom. The value obtained for the total DFT energy (no corrections) is -6.496 eV/atom. The magnetization is 0.00 μB/cell.

---

This record from Alexandria via LeMat-Bulk describes a relaxed structure of GaIr2O6. The functional is PBE.

It has space group P321 (No. 150), with a = 8.7599 Å, b = 8.7599 Å, c = 4.2878 Å, α = 90.00°, β = 90.00° and γ = 120.00°. The inequivalent atoms are Ga at (0.0000, 0.0000, 0.0000), Ga at (0.3333, 0.6667, 0.5052), Ir at (0.0000, 0.3199, 0.5000), Ir at (0.0000, 0.6543, 0.0000), O at (0.1039, 0.8825, 0.7650), O at (0.1132, 0.5422, 0.7469) and O at (0.2159, 0.7701, 0.2645).

For the formation energy (no corrections), the calculation gives -964.4 meV/atom. The value obtained for the total DFT energy (no corrections) is -6.575 eV/atom. The magnetization is 0.60 μB/cell.

---

This record from Alexandria via LeMat-Bulk describes a relaxed structure of Ga2IrO. The functional is PBE.

It has space group I-42d (No. 122), with a = 5.851 Å, b = 5.851 Å, c = 6.690 Å, α = 90.00°, β = 90.00° and γ = 90.00°. The inequivalent atoms are Ga at (0.186, 0.250, 0.125), Ir at (0.000, 0.000, 0.500) and O at (0.000, 0.000, 0.000).

For the formation energy (no corrections), the calculation gives -578.9 meV/atom. The value obtained for the total DFT energy (no corrections) is -5.547 eV/atom. The magnetization is 0.00 μB/cell.

---

This record from Alexandria via LeMat-Bulk describes a relaxed structure of GaIrO2. The functional is PBE.

It has space group I-42d (No. 122), with a = 4.836 Å, b = 4.836 Å, c = 8.797 Å, α = 90.00°, β = 90.00° and γ = 90.00°. The inequivalent atoms are Ga at (0.000, 0.000, 0.000), Ir at (0.000, 0.000, 0.500) and O at (0.192, 0.250, 0.125).

For the formation energy (no corrections), the calculation gives -328.9 meV/atom. The value obtained for the total DFT energy (no corrections) is -5.780 eV/atom. The magnetization is 0.00 μB/cell.

---

This record from Alexandria via LeMat-Bulk describes a relaxed structure of GaIrO3. The functional is PBE.

It has space group Pm-3m (No. 221), with a = 3.757 Å, b = 3.757 Å, c = 3.757 Å, α = 90.00°, β = 90.00° and γ = 90.00°. The inequivalent atoms are Ga at (0.000, 0.000, 0.000), Ir at (0.500, 0.500, 0.500) and O at (0.000, 0.000, 0.500).

For the formation energy (no corrections), the calculation gives 34.0 meV/atom. The value obtained for the total DFT energy (no corrections) is -5.318 eV/atom. The magnetization is 0.00 μB/cell.